(1)
TiMo3Pt: relaxed, PBE.

Values from the calculation:
Energy of formation from the pure elements: 1.357 eV per atom
Distance to the lowest polymorph of the same formula: 0 meV per atom
Total DFT energy (no corrections): -7.929 eV per atom
M_tot: 0.0 μB per cell

Geometry as CIF:
```
data_TiMo3Pt
_chemical_formula_sum 'Ti1 Mo3 Pt1'
_cell_length_a 4.4896
_cell_length_b 4.4896
_cell_length_c 4.4896
_cell_angle_alpha 90.00
_cell_angle_beta 90.00
_cell_angle_gamma 90.00
_space_group_name_H-M_alt 'P 1'
_space_group_IT_number 1
_space_group_name_Hall 'P 1'
loop_
_atom_site_label
_atom_site_type_symbol
_atom_site_fract_x
_atom_site_fract_y
_atom_site_fract_z
Ti1 Ti 0.0000 0.0000 0.0000
Mo1 Mo 0.0000 0.0000 0.5000
Mo2 Mo 0.0000 0.5000 0.0000
Mo3 Mo 0.5000 0.0000 0.0000
Pt1 Pt 0.5000 0.5000 0.5000
```



(2)
Ho2NiCl: relaxed, PBE.

Values from the calculation:
Formation energy (no corrections): -0.924 eV/atom
Distance to the lowest polymorph of the same formula: 0 meV per atom
Total DFT energy (no corrections): -5.120 eV per atom
M_tot: 0.0 μB per cell

Geometry as CIF:
```
data_Ho2NiCl
_chemical_formula_sum 'Ho2 Ni1 Cl1'
_cell_length_a 7.5802
_cell_length_b 7.5802
_cell_length_c 7.5802
_cell_angle_alpha 29.60
_cell_angle_beta 29.60
_cell_angle_gamma 29.60
_space_group_name_H-M_alt 'P 1'
_space_group_IT_number 1
_space_group_name_Hall 'P 1'
loop_
_atom_site_label
_atom_site_type_symbol
_atom_site_fract_x
_atom_site_fract_y
_atom_site_fract_z
Ho1 Ho 0.2334 0.2334 0.2334
Ho2 Ho 0.7666 0.7666 0.7666
Ni1 Ni 0.5000 0.5000 0.5000
Cl1 Cl 0.0000 0.0000 0.0000
```



Ordered V results: 90.49 94.09; unit Å³ per cell.
Ordered Fermi-level density of states results: 5.3 3.3; unit states/eV/cell.